[1]
ZnCu2Br: relaxed, PBE.

## Properties
Polymorph energy (0 for the lowest one) (meV per atom): 229.0
E (eV per atom): -2.5103
Energy relative to the elements, uncorrected (eV/atom): 0.27
DOS(E_F) (states/eV/f.u.): 0.80

Lattice parameters (Å, degrees): 3.2974 3.2974 7.5669 90.00 90.00 119.02
With the nearest neighbours (Å) after each atom.
Sites, in units of the cell vectors:
Zn  0.0000  0.0000  0.0000  4 Cu 2.46
Cu  0.5000  0.5000  0.2382  2 Zn 2.46, 2 Br 2.59
Cu  0.5000  0.5000  0.7618  2 Zn 2.46, 2 Br 2.59
Br  0.0000  0.0000  0.5000  4 Cu 2.59


[2]
Ge3SbH: relaxed, PBE.

## Properties
Polymorph energy (0 for the lowest one) (meV per atom): 0.0
E (eV per atom): -3.8108
DOS(E_F) (states/eV/f.u.): 3.03

Lattice parameters (Å, degrees): 4.4772 4.4772 4.4772 90.00 90.00 90.00
With the nearest neighbours (Å) after each atom.
Sites, in units of the cell vectors:
Ge  0.0000  0.0000  0.5000  2 H 2.24
Ge  0.0000  0.5000  0.0000  2 H 2.24
Ge  0.5000  0.0000  0.0000  2 H 2.24
Sb  0.5000  0.5000  0.5000  12 Ge 3.17
H  0.0000  0.0000  0.0000  6 Ge 2.24